# PuHg7, optimized geometry, DFT PBE-GGA
data_PuHg7
_chemical_formula_sum 'Pu1 Hg7'
_cell_length_a 10.085
_cell_length_b 10.085
_cell_length_c 10.085
_cell_angle_alpha 153.34
_cell_angle_beta 153.34
_cell_angle_gamma 38.06
_space_group_name_H-M_alt 'P 1'
_space_group_IT_number 1
_space_group_name_Hall 'P 1'
loop_
_atom_site_label
_atom_site_fract_x
_atom_site_fract_y
_atom_site_fract_z
_atom_site_occupancy
Pu1 0.000 0.000 0.000 1
Hg1 0.124 0.624 0.500 1
Hg2 0.249 0.249 0.000 1
Hg3 0.376 0.876 0.500 1
Hg4 0.500 0.500 0.000 1
Hg5 0.624 0.124 0.500 1
Hg6 0.751 0.751 0.000 1
Hg7 0.876 0.376 0.500 1
# Magnetic moment in μB/f.u.: 6.090
# Space group: I4/mmm
# Calculated density in g/cm3: 13.3
# Formation enthalpy at 0 K in meV per atom: -50.2
# Crystal system: tetragonal